# 1
Material: Tm2LuIn
Method: DFT, PBE
State: relaxed

The structure in POSCAR format:
```
Tm2LuIn
1.0
-0.422 4.702 -0.577
-4.499 -0.216 1.530
1.487 0.682 4.469
Lu In Tm
1 1 2
direct
0.500 0.500 0.000 Lu
0.000 0.000 0.000 In
0.000 0.500 0.500 Tm
0.500 0.000 0.500 Tm
```

Results
ρ	9.7	g cm⁻³
final energy	-4.3049	eV per atom

---

# 2
Material: ScFeSbPt
Method: DFT, PBE
State: relaxed

The structure in POSCAR format:
```
ScFeSbPt
1.0
-1.460 -4.132 -1.532
-4.523 -0.734 -0.744
-1.598 -0.435 -4.336
Sb Pt Fe Sc
1 1 1 1
direct
0.000 0.000 0.000 Sb
0.500 0.500 0.500 Pt
0.750 0.750 0.750 Fe
0.250 0.250 0.250 Sc
```

Results
ρ	9.8	g cm⁻³
final energy	-6.5587	eV per atom

---

# 3
Material: Co3W
Method: DFT, PBE
State: relaxed

The structure in POSCAR format:
```
Co3W
1.0
-2.457 2.775 3.220
-0.586 -4.875 0.010
11.488 -1.359 9.939
Co W
18 6
direct
0.333 0.667 0.383 Co
0.500 0.500 0.000 Co
0.333 0.667 0.652 Co
0.333 0.667 0.848 Co
0.667 0.333 0.152 Co
0.500 0.500 0.500 Co
0.500 0.000 0.000 Co
0.000 0.000 0.912 Co
0.667 0.333 0.883 Co
0.000 0.000 0.412 Co
0.333 0.667 0.117 Co
0.667 0.333 0.617 Co
0.667 0.333 0.348 Co
0.000 0.500 0.500 Co
0.000 0.500 0.000 Co
0.500 0.000 0.500 Co
0.000 0.000 0.588 Co
0.000 0.000 0.088 Co
0.671 0.835 0.250 W
0.835 0.671 0.750 W
0.329 0.165 0.750 W
0.835 0.165 0.750 W
0.165 0.329 0.250 W
0.165 0.835 0.250 W
```

Results
DFT formation energy	0.520	eV/atom
ρ	11.3	g cm⁻³